# 1
The following is a DFT calculation (PBE) of an optimized crystal structure of TbNd8Dy3.

Unit cell a=12.0514 b=12.7653 c=9.8574 alpha=147.09 beta=90.00 gamma=118.17
Atoms (fractional coordinates):
Nd: 0.3198 0.6396 0.9743
Nd: 0.8185 0.1384 0.9723
Nd: 0.6802 0.8616 0.0277
Nd: 0.3198 0.1384 0.9723
Nd: 0.1815 0.8616 0.0277
Nd: 0.8199 0.6398 0.9733
Nd: 0.6802 0.3604 0.0257
Nd: 0.1801 0.3602 0.0267
Tb: 0.0000 0.0000 0.0000
Dy: 0.5000 0.0000 0.0000
Dy: 0.5000 0.5000 0.0000
Dy: 0.0000 0.5000 0.0000

Theoretical density in g/cm³: 7.33
E_form in eV/atom: 0.1125
Space group: C2/m

=====

# 2
The following is a DFT calculation (PBE) of an optimized crystal structure of PaNiAgPt.

Unit cell a=4.7041 b=4.7041 c=4.7041 alpha=60.00 beta=60.00 gamma=60.00
Atoms (fractional coordinates):
Pt: 0.7500 0.7500 0.7500
Ni: 0.2500 0.2500 0.2500
Pa: 0.5000 0.5000 0.5000
Ag: 0.0000 0.0000 0.0000

Theoretical density in g/cm³: 13.37
E_form in eV/atom: -0.3766
Space group: F-43m

=====

# 3
The following is a DFT calculation (PBE) of an optimized crystal structure of Tb4Pm3Nd.

Unit cell a=6.3264 b=7.3289 c=11.6025 alpha=90.00 beta=90.00 gamma=90.00
Atoms (fractional coordinates):
Nd: 0.1476 0.3731 0.0000
Nd: 0.6476 0.6269 0.5000
Pm: 0.4814 0.3729 0.7499
Pm: 0.6472 0.6267 0.0000
Pm: 0.9814 0.6271 0.7501
Pm: 0.4814 0.3729 0.2501
Pm: 0.1472 0.3733 0.5000
Pm: 0.9814 0.6271 0.2499
Tb: 0.9807 0.1227 0.2504
Tb: 0.9807 0.1227 0.7496
Tb: 0.1479 0.8773 0.0000
Tb: 0.4807 0.8773 0.2496
Tb: 0.4807 0.8773 0.7504
Tb: 0.6483 0.1227 0.0000
Tb: 0.6479 0.1227 0.5000
Tb: 0.1483 0.8773 0.5000

Theoretical density in g/cm³: 7.50
E_form in eV/atom: 0.0268
Space group: Pmn2_1

=====

# 4
The following is a DFT calculation (PBE) of an optimized crystal structure of ReMoIr2.

Unit cell a=4.7577 b=4.7577 c=4.7596 alpha=131.33 beta=131.33 gamma=71.21
Atoms (fractional coordinates):
Re: 0.2498 0.7503 0.5000
Ir: 0.9996 0.0003 0.0000
Ir: 0.7505 0.2496 0.5000
Mo: 0.5001 0.4998 0.0000

Excess energy over the best structure of this formula in the dataset in meV/atom: 163.5
Theoretical density in g/cm³: 18.61
E_form in eV/atom: -0.1659
Space group: F222

=====

- What is the theoretical density in the second record?
  13.37 g/cm³